Record 1
ThSc5Tc2: relaxed, PBE.

Unit cell a=4.139 b=6.966 c=6.966 alpha=77.32 beta=72.72 gamma=72.72
Fractional coordinates of all 8 atoms:
Sc: 0.335 0.489 0.841
Tc: 0.284 0.216 0.216
Sc: 0.665 0.511 0.159
Sc: 0.000 0.500 0.500
Th: 0.000 0.000 0.000
Sc: 0.335 0.841 0.489
Tc: 0.716 0.784 0.784
Sc: 0.665 0.159 0.511

Computed properties:
Formation energy from the elements in eV/atom: -0.076
Space-group type: Immm
VASP energy in eV/atom: -7.55

=====

Record 2
Sc2BeRh: relaxed, PBE.

Unit cell a=3.909 b=3.617 c=5.300 alpha=70.01 beta=90.00 gamma=90.00
Fractional coordinates of all 4 atoms:
Rh: 0.500 0.560 0.756
Be: 0.000 0.689 0.496
Sc: 0.500 0.269 0.338
Sc: 0.000 0.983 0.910

Computed properties:
Formation energy from the elements in eV/atom: -0.498
Space-group type: Amm2
VASP energy in eV/atom: -6.43

=====

Record 3
Sc2IrRu2: relaxed, PBE.

Unit cell a=6.593 b=6.593 c=4.048 alpha=90.00 beta=90.00 gamma=90.00
Fractional coordinates of all 10 atoms:
Ir: 0.000 0.000 0.000
Sc: 0.319 0.181 0.500
Ru: 0.630 0.130 0.000
Ru: 0.870 0.630 0.000
Sc: 0.819 0.319 0.500
Sc: 0.181 0.681 0.500
Ru: 0.370 0.870 0.000
Ru: 0.130 0.370 0.000
Sc: 0.681 0.819 0.500
Ir: 0.500 0.500 0.000

Computed properties:
Formation energy from the elements in eV/atom: -0.360
Space-group type: P4/mbm
VASP energy in eV/atom: -8.38

=====

Record 4
KSr2TlF8: relaxed, PBE.

Unit cell a=4.220 b=5.802 c=8.155 alpha=90.00 beta=90.00 gamma=92.72
Fractional coordinates of all 12 atoms:
Sr: 0.500 0.500 0.254
F: 0.490 0.731 0.500
F: 0.528 0.773 0.000
F: 0.982 0.249 0.790
F: 0.982 0.249 0.210
F: 0.018 0.751 0.790
K: 0.000 0.000 0.500
F: 0.472 0.227 0.000
Tl: 0.000 0.000 0.000
F: 0.018 0.751 0.210
F: 0.510 0.269 0.500
Sr: 0.500 0.500 0.746

Computed properties:
Space-group type: P2/m
Formation energy from raw total energies in meV/atom: -3050
VASP energy in eV/atom: -4.87